Arrangement 1

12
Lattice="3.714 0.000 0.000 -1.857 3.216 0.000 0.000 0.000 35.654" Properties=species:S:1:pos:R:3 comment="AcLaEr2, optimized geometry, DFT PBE" sg="No. 160" crystal_system=trigonal pbc="T T T"
Ac 0.000 0.000 0.000
Ac 0.000 2.144 23.770
Ac 1.857 1.072 11.885
La 0.000 0.000 29.735
La 0.000 2.144 17.850
La 1.857 1.072 5.966
Er 0.000 0.000 8.845
Er 0.000 0.000 14.964
Er 0.000 2.144 3.079
Er 0.000 2.144 32.614
Er 1.857 1.072 20.730
Er 1.857 1.072 26.849



Arrangement 2

12
Lattice="3.725 0.000 0.000 -1.863 3.226 0.000 0.000 0.000 35.205" Properties=species:S:1:pos:R:3 comment="AcLaEr2, optimized geometry, DFT PBE" sg="No. 166" crystal_system=trigonal pbc="T T T"
Ac 0.000 0.000 0.000
Ac 0.000 2.151 23.470
Ac 1.863 1.075 11.735
La 0.000 0.000 17.603
La 0.000 2.151 5.868
La 1.863 1.075 29.338
Er 0.000 0.000 8.752
Er 0.000 0.000 26.453
Er 0.000 2.151 14.718
Er 0.000 2.151 32.223
Er 1.863 1.075 2.983
Er 1.863 1.075 20.488



Arrangement 3

16
Lattice="8.307 0.000 0.000 0.000 8.307 0.000 0.000 0.000 8.307" Properties=species:S:1:pos:R:3 comment="AcLaEr2, optimized geometry, DFT PBE" sg="No. 225" crystal_system=cubic pbc="T T T"
Ac 0.000 0.000 0.000
Ac 0.000 4.153 4.153
Ac 4.153 0.000 4.153
Ac 4.153 4.153 0.000
La 0.000 0.000 4.153
La 0.000 4.153 0.000
La 4.153 0.000 0.000
La 4.153 4.153 4.153
Er 2.077 2.077 2.077
Er 2.077 2.077 6.230
Er 2.077 6.230 2.077
Er 2.077 6.230 6.230
Er 6.230 2.077 2.077
Er 6.230 2.077 6.230
Er 6.230 6.230 2.077
Er 6.230 6.230 6.230



Most stable: arrangement 2 (next structure +22 meV/atom)



Arrangement 1

12
Lattice="3.670 0.000 0.000 -1.835 3.178 0.000 0.000 0.000 39.161" Properties=species:S:1:pos:R:3 comment="AcLa2Er, optimized geometry, DFT PBE" sg="No. 166" crystal_system=trigonal pbc="T T T"
Ac 0.000 0.000 0.000
Ac 0.000 2.119 26.107
Ac 1.835 1.059 13.054
La 0.000 0.000 3.616
La 0.000 0.000 35.545
La 0.000 2.119 22.491
La 0.000 2.119 29.724
La 1.835 1.059 9.437
La 1.835 1.059 16.670
Er 0.000 0.000 19.580
Er 0.000 2.119 6.527
Er 1.835 1.059 32.634



Arrangement 2

12
Lattice="3.765 0.000 0.000 -1.883 3.261 0.000 0.000 0.000 36.612" Properties=species:S:1:pos:R:3 comment="AcLa2Er, optimized geometry, DFT PBE" sg="No. 160" crystal_system=trigonal pbc="T T T"
Ac 0.000 0.000 0.000
Ac 0.000 2.174 24.408
Ac 1.883 1.087 12.204
La 0.000 0.000 21.227
La 0.000 0.000 27.650
La 0.000 2.174 9.023
La 0.000 2.174 15.446
La 1.883 1.087 3.242
La 1.883 1.087 33.431
Er 0.000 0.000 6.133
Er 0.000 2.174 30.541
Er 1.883 1.087 18.337



Arrangement 3

16
Lattice="8.475 0.000 0.000 0.000 8.475 0.000 0.000 0.000 8.475" Properties=species:S:1:pos:R:3 comment="AcLa2Er, optimized geometry, DFT PBE" sg="No. 225" crystal_system=cubic pbc="T T T"
Ac 0.000 0.000 0.000
Ac 0.000 4.237 4.237
Ac 4.237 0.000 4.237
Ac 4.237 4.237 0.000
La 2.119 2.119 2.119
La 2.119 2.119 6.356
La 2.119 6.356 2.119
La 2.119 6.356 6.356
La 6.356 2.119 2.119
La 6.356 2.119 6.356
La 6.356 6.356 2.119
La 6.356 6.356 6.356
Er 0.000 0.000 4.237
Er 0.000 4.237 0.000
Er 4.237 0.000 0.000
Er 4.237 4.237 4.237



Most stable: arrangement 2 (next structure +109 meV/atom)



Arrangement 1

11
Lattice="8.905 -6.138 0.000 8.905 6.138 0.000 -0.518 0.000 3.766" Properties=species:S:1:pos:R:3 comment="Ac2La7Er2, optimized geometry, DFT PBE" sg="No. 12" crystal_system=monoclinic pbc="T T T"
Ac 3.492 0.000 0.630
Ac 13.800 0.000 3.136
La -0.259 0.000 1.883
La 5.833 2.961 1.196
La 6.813 0.000 2.805
La 11.460 2.961 2.570
La 5.833 -2.961 1.196
La 10.480 0.000 0.962
La 11.460 -2.961 2.570
Er 8.905 3.077 0.000
Er 8.905 -3.077 0.000



Arrangement 2

11
Lattice="5.864 -5.999 0.000 5.864 5.999 0.000 -2.310 0.000 5.862" Properties=species:S:1:pos:R:3 comment="Ac2La7Er2, optimized geometry, DFT PBE" sg="No. 12" crystal_system=monoclinic pbc="T T T"
Ac 2.366 0.000 0.594
Ac 7.051 0.000 5.268
La -1.155 0.000 2.931
La 2.967 3.264 1.899
La 6.451 3.264 3.963
La 3.392 0.000 4.106
La 6.025 0.000 1.756
La 2.967 -3.264 1.899
La 6.451 -3.264 3.963
Er 5.864 3.257 0.000
Er 5.864 -3.257 0.000



Most stable: arrangement 1 (next structure +35 meV/atom)



Arrangement 1

20
Lattice="6.235 3.600 5.212 -6.235 3.600 5.212 0.000 -7.200 5.212" Properties=species:S:1:pos:R:3 comment="AcLa12Er7, optimized geometry, DFT PBE" sg="No. 148" crystal_system=trigonal pbc="T T T"
Ac 0.000 0.000 0.000
La -2.126 -2.207 6.502
La -3.642 1.098 6.050
La -2.772 -2.605 9.585
La 0.870 -3.703 6.050
La -2.974 0.738 9.133
La -0.848 2.945 6.502
La 0.848 -2.945 9.133
La 2.974 -0.738 6.502
La -0.870 3.703 9.585
La 2.772 2.605 6.050
La 3.642 -1.098 9.585
La 2.126 2.207 9.133
Er -0.522 -1.991 3.085
Er -1.463 1.448 3.085
Er 1.985 0.543 3.085
Er 0.000 0.000 7.817
Er -1.985 -0.543 12.549
Er 1.463 -1.448 12.549
Er 0.522 1.991 12.549



Arrangement 2

20
Lattice="9.831 5.676 2.191 -9.831 5.676 2.191 0.000 -11.352 2.191" Properties=species:S:1:pos:R:3 comment="AcLa12Er7, optimized geometry, DFT PBE" sg="No. 148" crystal_system=trigonal pbc="T T T"
Ac 0.000 0.000 0.000
La -7.814 0.474 2.836
La -4.317 -6.530 3.735
La -3.159 -2.257 2.676
La 3.497 -7.004 2.836
La -3.534 1.607 3.895
La 0.375 -3.864 3.895
La -0.375 3.864 2.676
La 3.534 -1.607 2.676
La -3.497 7.004 3.735
La 3.159 2.257 3.895
La 4.317 6.530 2.836
La 7.814 -0.474 3.735
Er -9.229 -2.521 3.714
Er -2.431 -9.253 2.857
Er -6.798 6.732 2.857
Er 0.000 0.000 3.286
Er 6.797 -6.732 3.714
Er 2.431 9.253 3.714
Er 9.229 2.521 2.857



Most stable: arrangement 1 (next structure +92 meV/atom)



Arrangement 1

16
Lattice="8.397 0.000 0.000 0.000 8.397 0.000 0.000 0.000 8.397" Properties=species:S:1:pos:R:3 comment="AcLaSmEr, optimized geometry, DFT PBE" sg="No. 216" crystal_system=cubic pbc="T T T"
Ac 0.000 0.000 0.000
Ac 0.000 4.199 4.199
Ac 4.199 0.000 4.199
Ac 4.199 4.199 0.000
La 2.099 2.099 6.298
La 2.099 6.298 2.099
La 6.298 2.099 2.099
La 6.298 6.298 6.298
Sm 2.099 2.099 2.099
Sm 2.099 6.298 6.298
Sm 6.298 2.099 6.298
Sm 6.298 6.298 2.099
Er 0.000 0.000 4.199
Er 0.000 4.199 0.000
Er 4.199 0.000 0.000
Er 4.199 4.199 4.199



Arrangement 2

4
Lattice="3.752 0.000 0.000 -1.876 3.249 0.000 0.000 0.000 12.002" Properties=species:S:1:pos:R:3 comment="AcLaSmEr, optimized geometry, DFT PBE" sg="No. 156" crystal_system=trigonal pbc="T T T"
Ac 0.000 0.000 0.000
La 1.876 1.083 6.090
Sm 0.000 2.166 3.101
Er 0.000 2.166 8.988



Most stable: arrangement 2 (next structure +105 meV/atom)



Arrangement 1

16
Lattice="8.340 0.000 0.000 0.000 8.340 0.000 0.000 0.000 8.340" Properties=species:S:1:pos:R:3 comment="AcLaYEr, optimized geometry, DFT PBE" sg="No. 216" crystal_system=cubic pbc="T T T"
Ac 0.000 0.000 0.000
Ac 0.000 4.170 4.170
Ac 4.170 0.000 4.170
Ac 4.170 4.170 0.000
La 0.000 0.000 4.170
La 0.000 4.170 0.000
La 4.170 0.000 0.000
La 4.170 4.170 4.170
Y 2.085 2.085 2.085
Y 2.085 6.255 6.255
Y 6.255 2.085 6.255
Y 6.255 6.255 2.085
Er 2.085 2.085 6.255
Er 2.085 6.255 2.085
Er 6.255 2.085 2.085
Er 6.255 6.255 6.255



Arrangement 2

4
Lattice="3.733 0.000 0.000 0.000 3.733 0.000 0.000 0.000 10.357" Properties=species:S:1:pos:R:3 comment="AcLaYEr, optimized geometry, DFT PBE" sg="No. 99" crystal_system=tetragonal pbc="T T T"
Ac 0.000 0.000 0.000
La 1.867 1.867 7.594
Y 1.867 1.867 2.730
Er 0.000 0.000 5.067



Most stable: arrangement 2 (next structure +32 meV/atom)



Arrangement 1

12
Lattice="12.096 0.000 0.000 0.000 5.633 0.000 -4.389 0.000 5.825" Properties=species:S:1:pos:R:3 comment="LiAcEr, optimized geometry, DFT PBE" sg="No. 12" crystal_system=monoclinic pbc="T T T"
Li 0.284 0.000 2.513
Li 1.375 2.817 3.312
Li 6.333 2.817 2.513
Li 7.423 0.000 3.312
Ac 0.000 2.817 0.000
Ac -2.194 2.817 2.913
Ac 6.048 0.000 0.000
Ac 3.854 0.000 2.913
Er -2.038 0.000 5.328
Er 3.698 2.817 0.497
Er 4.010 2.817 5.328
Er 9.746 0.000 0.497



Arrangement 2

3
Lattice="3.696 0.000 0.000 -1.848 3.201 0.000 0.000 0.000 8.510" Properties=species:S:1:pos:R:3 comment="LiAcEr, optimized geometry, DFT PBE" sg="No. 156" crystal_system=trigonal pbc="T T T"
Li 0.000 0.000 0.000
Ac 1.848 1.067 2.914
Er 0.000 2.134 5.888



Most stable: arrangement 1 (next structure +7 meV/atom)



Arrangement 1

12
Lattice="3.622 0.000 0.000 -1.811 3.137 0.000 0.000 0.000 34.117" Properties=species:S:1:pos:R:3 comment="LiAcEr2, optimized geometry, DFT PBE" sg="No. 160" crystal_system=trigonal pbc="T T T"
Li 0.000 0.000 0.000
Li 0.000 2.091 22.745
Li 1.811 1.046 11.372
Ac 0.000 0.000 5.675
Ac 0.000 2.091 28.420
Ac 1.811 1.046 17.047
Er 0.000 0.000 13.968
Er 0.000 0.000 20.136
Er 0.000 2.091 2.595
Er 0.000 2.091 8.764
Er 1.811 1.046 25.340
Er 1.811 1.046 31.509



Arrangement 2

4
Lattice="3.775 0.000 0.000 0.000 3.775 0.000 0.000 0.000 8.691" Properties=species:S:1:pos:R:3 comment="LiAcEr2, optimized geometry, DFT PBE" sg="No. 123" crystal_system=tetragonal pbc="T T T"
Li 0.000 0.000 0.000
Ac 0.000 0.000 4.346
Er 1.887 1.887 1.777
Er 1.887 1.887 6.914



Arrangement 3

16
Lattice="8.020 0.000 0.000 0.000 8.020 0.000 0.000 0.000 8.020" Properties=species:S:1:pos:R:3 comment="LiAcEr2, optimized geometry, DFT PBE" sg="No. 225" crystal_system=cubic pbc="T T T"
Li 0.000 0.000 0.000
Li 0.000 4.010 4.010
Li 4.010 0.000 4.010
Li 4.010 4.010 0.000
Ac 0.000 0.000 4.010
Ac 0.000 4.010 0.000
Ac 4.010 0.000 0.000
Ac 4.010 4.010 4.010
Er 2.005 2.005 2.005
Er 2.005 2.005 6.015
Er 2.005 6.015 2.005
Er 2.005 6.015 6.015
Er 6.015 2.005 2.005
Er 6.015 2.005 6.015
Er 6.015 6.015 2.005
Er 6.015 6.015 6.015



Arrangement 4

12
Lattice="3.590 0.000 0.000 -1.795 3.109 0.000 0.000 0.000 36.883" Properties=species:S:1:pos:R:3 comment="LiAcEr2, optimized geometry, DFT PBE" sg="No. 166" crystal_system=trigonal pbc="T T T"
Li 0.000 0.000 0.000
Li 0.000 2.072 24.589
Li 1.795 1.036 12.294
Ac 0.000 0.000 18.442
Ac 0.000 2.072 6.147
Ac 1.795 1.036 30.736
Er 0.000 0.000 3.211
Er 0.000 0.000 33.673
Er 0.000 2.072 21.378
Er 0.000 2.072 27.799
Er 1.795 1.036 9.084
Er 1.795 1.036 15.505



Most stable: arrangement 2 (next structure +88 meV/atom)



Arrangement 1

16
Lattice="8.113 0.000 0.000 0.000 8.113 0.000 0.000 0.000 8.113" Properties=species:S:1:pos:R:3 comment="AcErLu2, optimized geometry, DFT PBE" sg="No. 225" crystal_system=cubic pbc="T T T"
Ac 0.000 0.000 0.000
Ac 0.000 4.056 4.056
Ac 4.056 0.000 4.056
Ac 4.056 4.056 0.000
Er 0.000 0.000 4.056
Er 0.000 4.056 0.000
Er 4.056 0.000 0.000
Er 4.056 4.056 4.056
Lu 2.028 2.028 2.028
Lu 2.028 2.028 6.084
Lu 2.028 6.084 2.028
Lu 2.028 6.084 6.084
Lu 6.084 2.028 2.028
Lu 6.084 2.028 6.084
Lu 6.084 6.084 2.028
Lu 6.084 6.084 6.084



Arrangement 2

4
Lattice="5.154 0.000 0.000 0.000 5.154 0.000 0.000 0.000 5.004" Properties=species:S:1:pos:R:3 comment="AcErLu2, optimized geometry, DFT PBE" sg="No. 123" crystal_system=tetragonal pbc="T T T"
Ac 0.000 0.000 0.000
Er 2.577 2.577 0.000
Lu 0.000 2.577 2.502
Lu 2.577 0.000 2.502



Arrangement 3

4
Lattice="4.085 0.000 0.000 0.000 4.085 0.000 0.000 0.000 8.040" Properties=species:S:1:pos:R:3 comment="AcErLu2, optimized geometry, DFT PBE" sg="No. 123" crystal_system=tetragonal pbc="T T T"
Ac 0.000 0.000 0.000
Er 0.000 0.000 4.020
Lu 2.042 2.042 2.220
Lu 2.042 2.042 5.820



Most stable: arrangement 2 (next structure +11 meV/atom)



Arrangement 1

6
Lattice="3.912 0.000 0.000 0.000 3.912 0.000 0.000 0.000 12.982" Properties=species:S:1:pos:R:3 comment="AcErMg, optimized geometry, DFT PBE" sg="No. 107" crystal_system=tetragonal pbc="T T T"
Ac 0.000 0.000 0.000
Ac 1.956 1.956 6.491
Er 0.000 0.000 4.007
Er 1.956 1.956 10.498
Mg 0.000 0.000 8.774
Mg 1.956 1.956 2.283



Arrangement 2

12
Lattice="11.004 0.000 0.000 0.000 12.027 0.000 0.000 0.000 3.651" Properties=species:S:1:pos:R:3 comment="AcErMg, optimized geometry, DFT PBE" sg="No. 65" crystal_system=orthorhombic pbc="T T T"
Ac 0.000 2.777 0.000
Ac 0.000 9.251 0.000
Ac 5.502 3.237 0.000
Ac 5.502 8.790 0.000
Er 2.494 6.014 1.825
Er 3.008 0.000 1.825
Er 7.996 0.000 1.825
Er 8.510 6.014 1.825
Mg 0.000 0.000 1.825
Mg 0.000 6.014 0.000
Mg 5.502 0.000 0.000
Mg 5.502 6.014 1.825



Arrangement 3

3
Lattice="5.634 0.000 0.000 -2.817 4.879 0.000 0.000 0.000 3.656" Properties=species:S:1:pos:R:3 comment="AcErMg, optimized geometry, DFT PBE" sg="No. 156" crystal_system=trigonal pbc="T T T"
Ac 0.000 0.000 0.000
Er 2.817 1.626 1.880
Mg 0.000 3.253 1.717



Most stable: arrangement 1 (next structure +84 meV/atom)